Compound: NdDyMnHg
Source: the Alexandria database
Functional: PBE-GGA
Structure: relaxed

Results
Calculated formation energy ... -0.062 eV per atom
Symmetry ... F-43m
DOS at the Fermi energy ... 1.323 states/eV/atom

Lattice parameters (Å, degrees): 5.2354 5.2354 5.2354 60.00 60.00 60.00
With the nearest neighbours (Å) after each atom.
Sites, in units of the cell vectors:
Mn 0.0000 0.0000 0.0000  4 Dy 3.21, 4 Nd 3.21
Nd 0.7500 0.7500 0.7500  4 Hg 3.21, 4 Mn 3.21
Hg 0.5000 0.5000 0.5000  4 Dy 3.21, 4 Nd 3.21
Dy 0.2500 0.2500 0.2500  4 Hg 3.21, 4 Mn 3.21